BIr3Br PBE optimized geometry; energy above the most stable polymorph in this dataset = 0 meV/atom; raw formation energy = 0.85 eV/atom; total moment = 0.000 μB/cell; DOS(E_F) = 8.044 states/eV/cell; uncorrected energy = -6.13 eV per atom
1.0
-4.209 -0.197 -0.114
-0.110 -0.096 4.213
-0.200 4.209 0.091
B Ir Br
1 3 1
Direct
0.000 0.000 0.000 B
0.000 0.500 0.000 Ir
0.000 0.000 0.500 Ir
0.500 0.000 0.000 Ir
0.500 0.500 0.500 Br

La5Pr4Tm4 PBE optimized geometry; total moment = 0.000 μB/cell; DOS(E_F) = 20.520 states/eV/cell; uncorrected energy = -4.65 eV per atom
1.0
5.562 0.000 1.414
2.421 8.533 2.123
0.418 1.485 10.001
La Pr Tm
5 4 4
Direct
0.711 0.811 0.768 La
0.289 0.189 0.232 La
0.000 0.000 0.000 La
0.555 0.747 0.144 La
0.445 0.253 0.856 La
0.959 0.405 0.678 Pr
0.618 0.324 0.439 Pr
0.041 0.595 0.322 Pr
0.382 0.676 0.561 Pr
0.786 0.389 0.040 Tm
0.214 0.611 0.960 Tm
0.825 0.951 0.398 Tm
0.175 0.049 0.602 Tm